The following is a PBE-GGA calculation of a relaxed Mg8Cd2Sn3 crystal, from Alexandria.

Magnetization   0.000 μB/atom
Uncorrected energy   -0.0736 hartree per atom
Formation energy from the elements   54 kJ/mol of formula units
Space-group type   R-3m, No. 166

```
Mg8Cd2Sn3
1.0
-1.9031 -4.9510 2.6041
-1.9229 -4.5169 -3.2888
8.6823 -7.1562 -0.5565
Mg Cd Sn
8 2 3
Cartesian
4.5876 -12.8478 -0.9621
0.2687 -3.7762 -0.2791
0.9949 -6.7050 -1.9897
1.0049 -6.9237 0.9788
0.0363 -9.1991 -0.6779
3.8513 -9.7004 -2.2200
3.8613 -9.9191 0.7485
4.8200 -7.4250 -0.5633
-1.5562 -6.7114 -0.4893
6.4125 -9.9127 -0.7520
0.0000 0.0000 0.0000
1.9034 -11.7696 -0.8736
2.9528 -4.8545 -0.3676
```